(1)
Entry from Alexandria via LeMat-Bulk: a relaxed Be2SbTe crystal (GGA-PBEsol).

Calculated values
Formation energy from raw total energies   0.241 eV/atom
Distance to the lowest polymorph of the same formula   197 meV/atom

Structure (POSCAR):
```
Be2SbTe
1.0
1.839 1.061 6.174
-1.839 1.061 6.174
0.000 -2.123 6.174
Be Sb Te
2 1 1
Direct
0.249 0.249 0.249
0.751 0.751 0.751
0.000 0.000 0.000
0.500 0.500 0.500
```


(2)
Entry from Alexandria via LeMat-Bulk: a relaxed K2LiP crystal (GGA-PBEsol).

Calculated values
E_tot   -2.81 eV/atom

Structure (POSCAR):
```
K2LiP
1.0
4.556 0.000 0.000
0.000 2.788 4.893
0.000 -2.788 4.893
K Li P
2 1 1
Direct
0.000 0.000 0.000
0.500 0.330 0.330
0.000 0.666 0.666
0.500 0.661 0.661
```


(3)
Entry from Alexandria via LeMat-Bulk: a relaxed TlSNF2 crystal (GGA-PBEsol).

Calculated values
Formation energy from raw total energies   0.393 eV/atom
Distance to the lowest polymorph of the same formula   833 meV/atom

Structure (POSCAR):
```
TlSNF2
1.0
4.295 0.000 0.000
0.000 4.295 0.000
0.000 0.000 4.486
Tl S N F
1 1 1 2
Direct
0.000 0.000 0.000
0.500 0.500 0.500
0.000 0.000 0.500
0.000 0.500 0.000
0.500 0.000 0.000
```


(4)
Entry from Alexandria via LeMat-Bulk: a relaxed La2Sc crystal (GGA-PBEsol).

Calculated values
Distance to the lowest polymorph of the same formula   28 meV/atom

Structure (POSCAR):
```
La2Sc
1.0
5.337 -3.084 0.000
5.337 3.084 0.000
-3.628 0.000 5.580
La Sc
4 2
Direct
0.079 0.262 0.230
0.262 0.079 0.730
0.738 0.921 0.270
0.921 0.738 0.770
0.436 0.564 0.250
0.564 0.436 0.750
```


(5)
Entry from Alexandria via LeMat-Bulk: a relaxed AgSeBr2 crystal (GGA-PBEsol).

Calculated values
Formation energy from raw total energies   0.086 eV/atom
Distance to the lowest polymorph of the same formula   28 meV/atom

Structure (POSCAR):
```
AgSeBr2
1.0
-1.833 1.966 7.094
1.833 -1.966 7.094
1.833 1.966 -7.094
Ag Se Br
1 1 2
Direct
0.000 0.000 0.000
0.189 0.689 0.500
0.459 0.459 0.000
0.716 0.216 0.500
```


(6)
Entry from Alexandria via LeMat-Bulk: a relaxed TaMoN2O crystal (GGA-PBEsol).

Calculated values
Formation energy from raw total energies   -0.129 eV/atom

Structure (POSCAR):
```
TaMoN2O
1.0
4.054 0.000 0.000
0.000 4.054 0.000
0.000 0.000 3.807
Ta Mo N O
1 1 2 1
Direct
0.000 0.000 0.000
0.500 0.500 0.500
0.000 0.500 0.000
0.500 0.000 0.000
0.000 0.000 0.500
```


(7)
Entry from Alexandria via LeMat-Bulk: a relaxed SeBr crystal (GGA-PBEsol).

Calculated values
Formation energy from raw total energies   0.328 eV/atom

Structure (POSCAR):
```
SeBr
1.0
1.798 -3.363 0.000
1.798 3.363 0.000
0.000 0.000 4.072
Se Br
1 1
Direct
0.000 0.000 0.000
0.500 0.500 0.500
```


(8)
Entry from Alexandria via LeMat-Bulk: a relaxed SrLiAu4 crystal (GGA-PBEsol).

Calculated values
E_tot   -3.76 eV/atom

Structure (POSCAR):
```
SrLiAu4
1.0
0.000 3.930 3.930
3.930 0.000 3.930
3.930 3.930 0.000
Sr Li Au
1 1 4
Direct
0.000 0.000 0.000
0.750 0.750 0.750
0.376 0.376 0.376
0.376 0.376 0.873
0.376 0.873 0.376
0.873 0.376 0.376
```


(9)
Entry from Alexandria via LeMat-Bulk: a relaxed Sm2Se2O crystal (GGA-PBEsol).

Calculated values
Formation energy from raw total energies   -2.488 eV/atom
Distance to the lowest polymorph of the same formula   0 meV/atom

Structure (POSCAR):
```
Sm2Se2O
1.0
8.634 0.000 0.000
0.000 7.156 0.000
-1.292 0.000 7.051
Sm Se O
8 8 4
Direct
0.072 0.151 0.329
0.072 0.349 0.829
0.357 0.552 0.248
0.357 0.948 0.748
0.643 0.052 0.252
0.643 0.448 0.752
0.928 0.651 0.171
0.928 0.849 0.671
0.183 0.624 0.574
0.183 0.876 0.074
0.423 0.220 0.471
0.423 0.280 0.971
0.577 0.720 0.029
0.577 0.780 0.529
0.817 0.124 0.926
0.817 0.376 0.426
0.113 0.085 0.650
0.113 0.415 0.150
0.887 0.585 0.850
0.887 0.915 0.350
```


(10)
Entry from Alexandria via LeMat-Bulk: a relaxed BaBi3O crystal (GGA-PBEsol).

Calculated values
Formation energy from raw total energies   -0.609 eV/atom

Structure (POSCAR):
```
BaBi3O
1.0
5.095 0.000 0.000
0.000 5.095 0.000
0.000 0.000 5.095
Ba Bi O
1 3 1
Direct
0.000 0.000 0.000
0.000 0.500 0.500
0.500 0.000 0.500
0.500 0.500 0.000
0.500 0.500 0.500
```


(11)
Entry from Alexandria via LeMat-Bulk: a relaxed LaW crystal (GGA-PBEsol).

Calculated values
Distance to the lowest polymorph of the same formula   239 meV/atom

Structure (POSCAR):
```
LaW
1.0
0.000 3.480 3.480
3.480 0.000 3.480
3.480 3.480 0.000
La W
2 2
Direct
0.125 0.125 0.125
0.875 0.875 0.875
0.375 0.375 0.375
0.625 0.625 0.625
```


(12)
Entry from Alexandria via LeMat-Bulk: a relaxed Re2SbO6 crystal (GGA-PBEsol).

Calculated values
Formation energy from raw total energies   -1.492 eV/atom

Structure (POSCAR):
```
Re2SbO6
1.0
8.012 -2.463 0.000
8.012 2.463 0.000
-0.151 0.000 5.502
Re Sb O
4 2 12
Direct
0.053 0.585 0.609
0.415 0.947 0.891
0.585 0.053 0.109
0.947 0.415 0.391
0.298 0.702 0.250
0.702 0.298 0.750
0.114 0.163 0.118
0.163 0.114 0.618
0.265 0.303 0.331
0.303 0.265 0.831
0.343 0.518 0.573
0.482 0.657 0.927
0.518 0.343 0.073
0.657 0.482 0.427
0.697 0.735 0.169
0.735 0.697 0.669
0.837 0.886 0.382
0.886 0.837 0.882
```


(13)
Entry from Alexandria via LeMat-Bulk: a relaxed Li2OsCl crystal (GGA-PBEsol).

Calculated values
Formation energy from raw total energies   0.130 eV/atom
Distance to the lowest polymorph of the same formula   437 meV/atom

Structure (POSCAR):
```
Li2OsCl
1.0
2.519 -4.072 0.000
2.519 4.072 0.000
0.000 0.000 2.668
Li Os Cl
2 1 1
Direct
0.000 0.500 0.000
0.500 0.000 0.000
0.000 0.000 0.500
0.500 0.500 0.500
```


(14)
Entry from Alexandria via LeMat-Bulk: a relaxed Ag3Au5 crystal (GGA-PBEsol).

Calculated values
E_tot   -3.75 eV/atom

Structure (POSCAR):
```
Ag3Au5
1.0
4.087 -4.118 0.000
4.087 4.118 0.000
0.000 0.000 3.974
Ag Au
3 5
Direct
0.000 0.000 0.000
0.249 0.249 0.500
0.751 0.751 0.500
0.000 0.500 0.000
0.249 0.751 0.500
0.500 0.000 0.000
0.500 0.500 0.000
0.751 0.249 0.500
```


Table of total moment (μB per formula unit), in record order: 0.000; 0.000; 2.017; 0.000; 0.000; 2.984; 0.000; 0.000; 0.000; 0.000; 0.000; 0.000; 0.000; 0.000